Density functional theory data (SCAN) for a crystal of Sc5In4Co2 relaxed with PBEsol.

The structure in POSCAR format:
```
Sc5In4Co2
1.0
-0.104 -3.245 0.442
6.139 0.378 4.224
-9.674 2.198 13.863
Sc In Co
10 8 4
direct
0.500 0.240 0.279
0.500 0.760 0.721
0.500 0.000 0.000
0.500 0.874 0.409
0.500 0.740 0.221
0.500 0.374 0.091
0.500 0.126 0.591
0.500 0.626 0.909
0.500 0.500 0.500
0.500 0.260 0.779
0.000 0.064 0.152
0.000 0.698 0.068
0.000 0.564 0.348
0.000 0.302 0.932
0.000 0.802 0.568
0.000 0.436 0.652
0.000 0.936 0.848
0.000 0.198 0.432
0.000 0.461 0.194
0.000 0.039 0.694
0.000 0.961 0.306
0.000 0.539 0.806
```

Values from the calculation:
V: 416.8 Å³/cell
total magnetization: 0.4 μB/f.u.
D(E_F): 6.0 states/eV/f.u.
ΔH_f (0 K): -0.535 eV per atom
E_tot: -22.293 eV/atom